Entry 1:
Entry from Alexandria: TcMoI2Cl after structural relaxation (GGA-PBE).

Properties
Total magnetic moment, μB/cell: 2.4
DOS at the Fermi energy, states/eV per cell: 3.3
Calculated total energy, eV per atom: -4.316
Uncorrected formation energy, eV/atom: 0.9132

a b c (Å): 5.5753 5.5753 4.7257
angles (deg): 90.00 90.00 90.00
Closest atoms and distances in Å follow each position.
Fractional coordinates of all 5 atoms:
Tc  0.0000  0.0000  0.0000  2 Cl 2.36
Mo  0.5000  0.5000  0.5000  8 I 3.65, 4 Cl 3.94
I  0.0000  0.5000  0.0000  2 Tc 2.79
I  0.5000  0.0000  0.0000  2 Tc 2.79
Cl  0.0000  0.0000  0.5000  2 Tc 2.36



Entry 2:
Entry from Alexandria: Te2MoICl after structural relaxation (GGA-PBE).

Properties
Total magnetic moment, μB/cell: 0.0
DOS at the Fermi energy, states/eV per cell: 3.5
Calculated total energy, eV per atom: -3.853
Uncorrected formation energy, eV/atom: 0.2495

a b c (Å): 5.2462 5.2462 5.5376
angles (deg): 90.00 90.00 90.00
Closest atoms and distances in Å follow each position.
Fractional coordinates of all 5 atoms:
Te  0.0000  0.5000  0.0000  2 Mo 2.62
Te  0.5000  0.0000  0.0000  2 Mo 2.62
Mo  0.0000  0.0000  0.0000  4 Te 2.62, 2 I 2.77
I  0.0000  0.0000  0.5000  2 Mo 2.77
Cl  0.5000  0.5000  0.5000  4 I 3.71, 8 Te 3.81



Q: Among the records above, which one has the highest DOS at the Fermi energy?
A: Te2MoICl



What did the first record say?
Entry from Alexandria: TcMoI2Cl after structural relaxation (GGA-PBE).

Properties
Total magnetic moment, μB/cell: 2.4
DOS at the Fermi energy, states/eV per cell: 3.3
Calculated total energy, eV per atom: -4.316
Uncorrected formation energy, eV/atom: 0.9132

a b c (Å): 5.5753 5.5753 4.7257
angles (deg): 90.00 90.00 90.00
Closest atoms and distances in Å follow each position.
Fractional coordinates of all 5 atoms:
Tc  0.0000  0.0000  0.0000  2 Cl 2.36
Mo  0.5000  0.5000  0.5000  8 I 3.65, 4 Cl 3.94
I  0.0000  0.5000  0.0000  2 Tc 2.79
I  0.5000  0.0000  0.0000  2 Tc 2.79
Cl  0.0000  0.0000  0.5000  2 Tc 2.36



Q: Which formula does entry 1 have?
A: TcMoI2Cl